Record 1
Compound: ReB2Rh2
Source: Alexandria
Functional: PBE-GGA
Structure: relaxed

Values from the calculation:
- Energy of formation: 13.1 meV/atom

a = 6.4100 Å, b = 6.4100 Å, c = 2.6899 Å
α = 90.00°, β = 90.00°, γ = 90.00°
Closest atoms and distances in Å follow each position.
Space group P4/mbm (No. 127)
Inequivalent atoms, fractional coordinates:
Re  0.0000  0.0000  0.0000 [2 per cell]  4 B 2.43, 2 Re 2.69
B  0.1539  0.3461  0.0000 [4 per cell]  6 Rh 2.22-2.38, 2 Re 2.43
Rh  0.1516  0.6516  0.5000 [4 per cell]  6 B 2.22-2.38

Record 2
Compound: La2TeAuCl
Source: Alexandria
Functional: PBE-GGA
Structure: relaxed

Values from the calculation:
- ΔE_f (raw): -0.42 eV/atom

a = 6.0306 Å, b = 6.0306 Å, c = 5.2189 Å
α = 90.00°, β = 90.00°, γ = 90.00°
Closest atoms and distances in Å follow each position.
Space group P4/mmm (No. 123)
Inequivalent atoms, fractional coordinates:
La  0.0000  0.5000  0.0000 [2 per cell]  2 Te 3.02
Te  0.0000  0.0000  0.0000 [1 per cell]  2 Au 2.61
Au  0.0000  0.0000  0.5000 [1 per cell]  2 Te 2.61
Cl  0.5000  0.5000  0.5000 [1 per cell]  8 La 3.99, 4 Au 4.26

Record 3
Compound: HoMgSc2Zn4
Source: Alexandria
Functional: PBE-GGA
Structure: relaxed

Values from the calculation:
- Energy of formation: -302.7 meV/atom

a = 4.7611 Å, b = 4.7611 Å, c = 23.8166 Å
α = 90.00°, β = 90.00°, γ = 120.00°
Closest atoms and distances in Å follow each position.
Space group R-3m (No. 166, hexagonal axes)
Inequivalent atoms, fractional coordinates:
Ho  0.0000  0.0000  0.0000 [3 per cell]  8 Zn 2.94-2.99
Mg  0.0000  0.0000  0.5000 [3 per cell]  8 Zn 2.91-2.92
Sc  0.0000  0.0000  0.2453 [6 per cell]  8 Zn 2.86-3.15
Zn  0.0000  0.0000  0.1254 [6 per cell]  4 Sc 2.86-2.89, 3 Mg 2.92, 1 Ho 2.99
Zn  0.0000  0.0000  0.3776 [6 per cell]  1 Mg 2.91, 4 Sc 2.94-3.15, 3 Ho 2.94

Record 4
Compound: Sr2ZrVBr
Source: Alexandria
Functional: PBE-GGA
Structure: relaxed

Values from the calculation:
- ΔE_f (raw): 0.74 eV/atom

a = 5.7275 Å, b = 5.7275 Å, c = 5.1298 Å
α = 90.00°, β = 90.00°, γ = 90.00°
Closest atoms and distances in Å follow each position.
Space group P4/mmm (No. 123)
Inequivalent atoms, fractional coordinates:
Sr  0.0000  0.5000  0.0000 [2 per cell]  2 Br 2.86
Zr  0.0000  0.0000  0.5000 [1 per cell]  2 Br 2.56
V  0.5000  0.5000  0.5000 [1 per cell]  8 Sr 3.84, 4 Zr 4.05
Br  0.0000  0.0000  0.0000 [1 per cell]  2 Zr 2.56, 4 Sr 2.86

Record 5
Compound: RbTlOsBr6
Source: Alexandria
Functional: PBE-GGA
Structure: relaxed

Values from the calculation:
- ΔE_f (raw): -0.63 eV/atom

a = 7.4781 Å, b = 7.4781 Å, c = 7.1410 Å
α = 90.00°, β = 90.00°, γ = 120.00°
Closest atoms and distances in Å follow each position.
Space group P312 (No. 149)
Inequivalent atoms, fractional coordinates:
Rb  0.0000  0.0000  0.0000 [1 per cell]  6 Br 3.49
Tl  0.3333  0.6667  0.5000 [1 per cell]  6 Br 3.07
Os  0.6667  0.3333  0.5000 [1 per cell]  6 Br 2.50
Br  0.3941  0.0569  0.7009 [6 per cell]  1 Os 2.50

Record 6
Compound: Nd6CdNi
Source: Alexandria
Functional: PBE-GGA
Structure: relaxed

Values from the calculation:
- Energy of formation: -79.1 meV/atom

a = 7.0125 Å, b = 10.5093 Å, c = 6.5853 Å
α = 90.00°, β = 101.36°, γ = 90.00°
Closest atoms and distances in Å follow each position.
Space group C2/m (No. 12)
Inequivalent atoms, fractional coordinates:
Nd  0.1238  0.2048  0.2730 [8 per cell]  1 Ni 2.85
Nd  0.2435  0.5000  0.0985 [4 per cell]  1 Ni 2.89
Cd  0.0000  0.5000  0.5000 [2 per cell]  10 Nd 3.42-3.62, 2 Ni 3.51
Ni  0.0000  0.0000  0.5000 [2 per cell]  6 Nd 2.85-2.89

Record 7
Compound: CoGe2Bi
Source: Alexandria
Functional: PBE-GGA
Structure: relaxed

Values from the calculation:
- Energy of formation: 254.3 meV/atom

a = 4.8485 Å, b = 4.8485 Å, c = 15.1326 Å
α = 90.00°, β = 90.00°, γ = 90.00°
Closest atoms and distances in Å follow each position.
Space group I-42d (No. 122)
Inequivalent atoms, fractional coordinates:
Co  0.0000  0.0000  0.0000 [4 per cell]  4 Ge 2.32
Ge  0.1166  0.2500  0.1250 [8 per cell]  2 Co 2.32
Bi  0.0000  0.0000  0.5000 [4 per cell]  4 Ge 2.92

Record 8
Compound: Fe6Ni2Ir
Source: Alexandria
Functional: PBE-GGA
Structure: relaxed

Values from the calculation:
- Energy of formation: 475.7 meV/atom

a = 4.6928 Å, b = 8.1275 Å, c = 6.4818 Å
α = 90.00°, β = 90.26°, γ = 90.00°
Closest atoms and distances in Å follow each position.
Space group C2/m (No. 12)
Inequivalent atoms, fractional coordinates:
Fe  0.0009  0.0000  0.3143 [4 per cell]  5 Fe 2.34-2.41, 2 Ni 2.45
Fe  0.2484  0.2498  0.6857 [8 per cell]  5 Fe 2.34-2.41, 2 Ni 2.45
Ni  0.0000  0.1666  0.0000 [4 per cell]  6 Fe 2.45, 3 Ni 2.71
Ir  0.0000  0.5000  0.5000 [2 per cell]  12 Fe 2.63-2.65

Number 1: density of states at the Fermi level 3.59 states/eV/f.u., M_tot 0.000 μB/atom, volume 111 Å³/cell. Number 2: density of states at the Fermi level 6.87 states/eV/f.u., M_tot 0.020 μB/atom, volume 190 Å³/cell. Number 3: density of states at the Fermi level 5.73 states/eV/f.u., M_tot 0.000 μB/atom, volume 468 Å³/cell. Number 4: density of states at the Fermi level 10.95 states/eV/f.u., M_tot 0.002 μB/atom, volume 168 Å³/cell. Number 5: density of states at the Fermi level 5.95 states/eV/f.u., M_tot 0.000 μB/atom, volume 346 Å³/cell. Number 6: density of states at the Fermi level 8.46 states/eV/f.u., M_tot 0.000 μB/atom, volume 476 Å³/cell. Number 7: density of states at the Fermi level 1.03 states/eV/f.u., M_tot 0.000 μB/atom, volume 356 Å³/cell. Number 8: density of states at the Fermi level 15.07 states/eV/f.u., M_tot 1.487 μB/atom, volume 247 Å³/cell.